A plane-wave DFT calculation with PBE was carried out for a relaxed structure of SrTlOs2.

Properties
**Crystal system**: monoclinic
**ΔE_f**: 1.020 eV/atom
**Distance to the lowest polymorph of the same formula**: 0.737 eV/atom
**Calculated volume**: 21.6 Å³/atom
**M_tot**: 0.0 μB/f.u.
**Calculated total energy**: -0.20604 hartree per atom
**Density of states at the Fermi level**: 5.69 states/eV/f.u.

Lattice parameters (Å, degrees): 2.9610 4.9819 5.9105 90.00 96.95 90.00
With the nearest neighbours (Å) after each atom.
Fractional positions:
Sr 0.0000 0.0000 0.0000  2 Sr 2.96, 2 Tl 3.14, 4 Os 3.31
Tl 0.5000 0.0000 0.5000  4 Os 2.80, 2 Tl 2.96
Os 0.3010 0.5000 0.6820  2 Os 2.58-2.62, 2 Tl 2.80
Os 0.6990 0.5000 0.3180  2 Os 2.58-2.62, 2 Tl 2.80

***

A plane-wave DFT calculation with PBE was carried out for a relaxed structure of PmPr6Th.

Properties
**Crystal system**: monoclinic
**ΔE_f**: 0.183 eV/atom
**Distance to the lowest polymorph of the same formula**: 0.146 eV/atom
**Calculated volume**: 35.1 Å³/atom
**M_tot**: 0.0 μB/f.u.
**Calculated total energy**: -0.18093 hartree per atom
**Density of states at the Fermi level**: 12.54 states/eV/f.u.

Lattice parameters (Å, degrees): 6.9925 6.9925 6.7110 90.66 90.66 121.00
With the nearest neighbours (Å) after each atom.
Fractional positions:
Pm 0.0000 0.0000 0.0000  2 Th 3.36, 6 Pr 3.58-3.70
Pr 0.0846 0.5762 0.7484  6 Pr 3.32-3.69, 1 Pm 3.70, 1 Th 3.72
Pr 0.4238 0.9154 0.2516  6 Pr 3.32-3.69, 1 Pm 3.70, 1 Th 3.72
Pr 0.4615 0.4615 0.2569  4 Pr 3.29-3.50, 1 Pm 3.58, 1 Th 3.61
Pr 0.5385 0.5385 0.7431  4 Pr 3.29-3.50, 1 Pm 3.58, 1 Th 3.61
Pr 0.5762 0.0846 0.7484  6 Pr 3.32-3.69, 1 Pm 3.70, 1 Th 3.72
Pr 0.9154 0.4238 0.2516  6 Pr 3.32-3.69, 1 Pm 3.70, 1 Th 3.72
Th 0.0000 0.0000 0.5000  2 Pm 3.36, 6 Pr 3.61-3.72

***

- calculated total energy of number 1 (SrTlOs2)?
  -0.20604 hartree per atom

***

- The highest calculated total energy belongs to which entry?
  PmPr6Th

***

Copy entry 2 word for word.
A plane-wave DFT calculation with PBE was carried out for a relaxed structure of PmPr6Th.

Properties
**Crystal system**: monoclinic
**ΔE_f**: 0.183 eV/atom
**Distance to the lowest polymorph of the same formula**: 0.146 eV/atom
**Calculated volume**: 35.1 Å³/atom
**M_tot**: 0.0 μB/f.u.
**Calculated total energy**: -0.18093 hartree per atom
**Density of states at the Fermi level**: 12.54 states/eV/f.u.

Lattice parameters (Å, degrees): 6.9925 6.9925 6.7110 90.66 90.66 121.00
With the nearest neighbours (Å) after each atom.
Fractional positions:
Pm 0.0000 0.0000 0.0000  2 Th 3.36, 6 Pr 3.58-3.70
Pr 0.0846 0.5762 0.7484  6 Pr 3.32-3.69, 1 Pm 3.70, 1 Th 3.72
Pr 0.4238 0.9154 0.2516  6 Pr 3.32-3.69, 1 Pm 3.70, 1 Th 3.72
Pr 0.4615 0.4615 0.2569  4 Pr 3.29-3.50, 1 Pm 3.58, 1 Th 3.61
Pr 0.5385 0.5385 0.7431  4 Pr 3.29-3.50, 1 Pm 3.58, 1 Th 3.61
Pr 0.5762 0.0846 0.7484  6 Pr 3.32-3.69, 1 Pm 3.70, 1 Th 3.72
Pr 0.9154 0.4238 0.2516  6 Pr 3.32-3.69, 1 Pm 3.70, 1 Th 3.72
Th 0.0000 0.0000 0.5000  2 Pm 3.36, 6 Pr 3.61-3.72